(1)
This record from Alexandria describes a geometry-optimized ZnMoOs structure. The functional is PBE-GGA.

Structure (extended XYZ):
```
3
Lattice="2.7864 0.0000 0.0000 -1.3932 2.4131 0.0000 0.0000 0.0000 6.6988" Properties=species:S:1:pos:R:3 pbc="T T T"
Mo 0.0000 0.0000 0.0763
Os 0.0000 1.6087 2.1852
Zn 1.3932 0.8044 4.4373
```

Values from the calculation:
Raw total energy = -7.679 eV/atom
Space-group type = P3m1
Excess energy over the best structure of this formula in the dataset = 6 kJ/mol of formula units


(2)
This record from Alexandria describes a geometry-optimized ZnMoOs2 structure. The functional is PBE-GGA.

Structure (extended XYZ):
```
4
Lattice="2.7978 0.0000 0.0000 0.0000 3.8155 0.0000 0.0000 0.0000 5.4795" Properties=species:S:1:pos:R:3 pbc="T T T"
Mo 1.3989 1.9078 4.1096
Os 0.0000 0.0000 0.0511
Os 0.0000 0.0000 2.6886
Zn 1.3989 1.9078 1.3699
```

Values from the calculation:
Raw total energy = -8.450 eV/atom
Space-group type = Pmmm


(3)
This record from Alexandria describes a geometry-optimized ZnMoOs structure. The functional is PBE-GGA.

Structure (extended XYZ):
```
3
Lattice="7.1257 0.0049 -0.0034 6.4079 2.6103 0.0056 0.7178 -0.9243 2.4359" Properties=species:S:1:pos:R:3 pbc="T T T"
Mo 13.4912 2.6035 0.0103
Os 5.0196 0.2638 1.6190
Zn 9.2743 1.4388 0.8111
```

Values from the calculation:
Raw total energy = -7.521 eV/atom
Space-group type = Fmm2
Excess energy over the best structure of this formula in the dataset = 52 kJ/mol of formula units


(4)
This record from Alexandria describes a geometry-optimized ZnMoOs2 structure. The functional is PBE-GGA.

Structure (extended XYZ):
```
4
Lattice="-2.1311 -3.8099 -0.1811 0.3808 -2.8736 3.2691 -3.3833 -0.7394 2.6639" Properties=species:S:1:pos:R:3 pbc="T T T"
Mo -2.5668 -3.7115 2.8759
Os 0.0000 0.0000 0.0000
Os -1.2834 -1.8557 1.4380
Zn -3.8502 -5.5672 4.3139
```

Values from the calculation:
Raw total energy = -8.245 eV/atom
Space-group type = F-43m